(1)
# Tb2Re3Si5 | the Alexandria database | PBEsol | relaxed
data_Tb2Re3Si5
_symmetry_space_group_name_H-M 'P 4/m n c'
_symmetry_Int_Tables_number 128
_symmetry_space_group_name_Hall '-P 4 2n'
_cell_length_a 10.910
_cell_length_b 10.910
_cell_length_c 5.475
_cell_angle_alpha 90.00
_cell_angle_beta 90.00
_cell_angle_gamma 90.00
loop_
_atom_site_label
_atom_site_type_symbol
_atom_site_fract_x
_atom_site_fract_y
_atom_site_fract_z
Tb1 Tb 0.077 0.237 0.000
Re1 Re 0.000 0.500 0.250
Re2 Re 0.123 0.853 0.500
Si1 Si 0.000 0.000 0.242
Si2 Si 0.029 0.314 0.500
Si3 Si 0.172 0.672 0.250
# **Formation energy from raw total energies**: -0.657 eV/atom

(2)
# Ca2Mg2Tl | the Alexandria database | PBEsol | relaxed
data_Ca2Mg2Tl
_symmetry_space_group_name_H-M 'I 4/m m m'
_symmetry_Int_Tables_number 139
_symmetry_space_group_name_Hall '-I 4 2'
_cell_length_a 4.021
_cell_length_b 4.021
_cell_length_c 18.818
_cell_angle_alpha 90.00
_cell_angle_beta 90.00
_cell_angle_gamma 90.00
loop_
_atom_site_label
_atom_site_type_symbol
_atom_site_fract_x
_atom_site_fract_y
_atom_site_fract_z
Ca1 Ca 0.000 0.000 0.095
Mg1 Mg 0.000 0.500 0.250
Tl1 Tl 0.000 0.000 0.500
# **Electronic total energy**: -2.117 eV per atom

(3)
# NbTeP2S | the Alexandria database | PBEsol | relaxed
data_NbTeP2S
_symmetry_space_group_name_H-M 'P 4/m m m'
_symmetry_Int_Tables_number 123
_symmetry_space_group_name_Hall '-P 4 2'
_cell_length_a 4.882
_cell_length_b 4.882
_cell_length_c 4.807
_cell_angle_alpha 90.00
_cell_angle_beta 90.00
_cell_angle_gamma 90.00
loop_
_atom_site_label
_atom_site_type_symbol
_atom_site_fract_x
_atom_site_fract_y
_atom_site_fract_z
Nb1 Nb 0.000 0.000 0.000
Te1 Te 0.500 0.500 0.500
P1 P 0.000 0.500 0.500
S1 S 0.500 0.500 0.000
# **Formation energy from raw total energies**: 1.335 eV/atom

(4)
# Sr2TaCoO6 | the Alexandria database | PBEsol | relaxed
data_Sr2TaCoO6
_symmetry_space_group_name_H-M 'F m -3 m'
_symmetry_Int_Tables_number 225
_symmetry_space_group_name_Hall '-F 4 2 3'
_cell_length_a 7.731
_cell_length_b 7.731
_cell_length_c 7.731
_cell_angle_alpha 90.00
_cell_angle_beta 90.00
_cell_angle_gamma 90.00
loop_
_atom_site_label
_atom_site_type_symbol
_atom_site_fract_x
_atom_site_fract_y
_atom_site_fract_z
Sr1 Sr 0.250 0.250 0.250
Ta1 Ta 0.000 0.000 0.000
Co1 Co 0.000 0.000 0.500
O1 O 0.000 0.000 0.255
# **Formation energy from raw total energies**: -2.569 eV/atom

(5)
# InCoI2O | the Alexandria database | PBEsol | relaxed
data_InCoI2O
_symmetry_space_group_name_H-M 'P 4/m m m'
_symmetry_Int_Tables_number 123
_symmetry_space_group_name_Hall '-P 4 2'
_cell_length_a 5.558
_cell_length_b 5.558
_cell_length_c 3.606
_cell_angle_alpha 90.00
_cell_angle_beta 90.00
_cell_angle_gamma 90.00
loop_
_atom_site_label
_atom_site_type_symbol
_atom_site_fract_x
_atom_site_fract_y
_atom_site_fract_z
In1 In 0.000 0.000 0.000
Co1 Co 0.500 0.500 0.500
I1 I 0.000 0.500 0.500
O1 O 0.500 0.500 0.000
# **Formation energy from raw total energies**: -0.289 eV/atom

(6)
# HfMg2Ag | the Alexandria database | PBEsol | relaxed
data_HfMg2Ag
_symmetry_space_group_name_H-M 'F m -3 m'
_symmetry_Int_Tables_number 225
_symmetry_space_group_name_Hall '-F 4 2 3'
_cell_length_a 6.747
_cell_length_b 6.747
_cell_length_c 6.747
_cell_angle_alpha 90.00
_cell_angle_beta 90.00
_cell_angle_gamma 90.00
loop_
_atom_site_label
_atom_site_type_symbol
_atom_site_fract_x
_atom_site_fract_y
_atom_site_fract_z
Hf1 Hf 0.000 0.000 0.000
Mg1 Mg 0.250 0.250 0.250
Ag1 Ag 0.000 0.000 0.500
# **Electronic total energy**: -4.097 eV per atom

(7)
# TlPtW2 | the Alexandria database | PBEsol | relaxed
data_TlPtW2
_symmetry_space_group_name_H-M 'P 4/m m m'
_symmetry_Int_Tables_number 123
_symmetry_space_group_name_Hall '-P 4 2'
_cell_length_a 4.877
_cell_length_b 4.877
_cell_length_c 2.824
_cell_angle_alpha 90.00
_cell_angle_beta 90.00
_cell_angle_gamma 90.00
loop_
_atom_site_label
_atom_site_type_symbol
_atom_site_fract_x
_atom_site_fract_y
_atom_site_fract_z
Tl1 Tl 0.000 0.000 0.000
Pt1 Pt 0.500 0.500 0.000
W1 W 0.000 0.500 0.500
# **Electronic total energy**: -8.506 eV per atom

(8)
# FeCS2Cl | the Alexandria database | PBEsol | relaxed
data_FeCS2Cl
_symmetry_space_group_name_H-M 'P 4/m m m'
_symmetry_Int_Tables_number 123
_symmetry_space_group_name_Hall '-P 4 2'
_cell_length_a 4.256
_cell_length_b 4.256
_cell_length_c 4.654
_cell_angle_alpha 90.00
_cell_angle_beta 90.00
_cell_angle_gamma 90.00
loop_
_atom_site_label
_atom_site_type_symbol
_atom_site_fract_x
_atom_site_fract_y
_atom_site_fract_z
Fe1 Fe 0.000 0.000 0.000
C1 C 0.500 0.500 0.500
S1 S 0.000 0.500 0.000
Cl1 Cl 0.000 0.000 0.500
# **Formation energy from raw total energies**: 1.488 eV/atom

(9)
# KAuOF2 | the Alexandria database | PBEsol | relaxed
data_KAuOF2
_symmetry_space_group_name_H-M 'P 4/m m m'
_symmetry_Int_Tables_number 123
_symmetry_space_group_name_Hall '-P 4 2'
_cell_length_a 4.524
_cell_length_b 4.524
_cell_length_c 3.875
_cell_angle_alpha 90.00
_cell_angle_beta 90.00
_cell_angle_gamma 90.00
loop_
_atom_site_label
_atom_site_type_symbol
_atom_site_fract_x
_atom_site_fract_y
_atom_site_fract_z
K1 K 0.000 0.000 0.000
Au1 Au 0.500 0.500 0.500
O1 O 0.500 0.500 0.000
F1 F 0.000 0.500 0.500
# **Formation energy from raw total energies**: -1.212 eV/atom

(10)
# CSe2SBr | the Alexandria database | PBEsol | relaxed
data_CSe2SBr
_symmetry_space_group_name_H-M 'P 4/m m m'
_symmetry_Int_Tables_number 123
_symmetry_space_group_name_Hall '-P 4 2'
_cell_length_a 4.419
_cell_length_b 4.419
_cell_length_c 4.381
_cell_angle_alpha 90.00
_cell_angle_beta 90.00
_cell_angle_gamma 90.00
loop_
_atom_site_label
_atom_site_type_symbol
_atom_site_fract_x
_atom_site_fract_y
_atom_site_fract_z
C1 C 0.000 0.000 0.000
Se1 Se 0.000 0.500 0.000
S1 S 0.500 0.500 0.500
Br1 Br 0.000 0.000 0.500
# **Formation energy from raw total energies**: 1.276 eV/atom

(11)
# AlBiAu3 | the Alexandria database | PBEsol | relaxed
data_AlBiAu3
_symmetry_space_group_name_H-M 'P m -3 m'
_symmetry_Int_Tables_number 221
_symmetry_space_group_name_Hall '-P 4 2 3'
_cell_length_a 5.312
_cell_length_b 5.312
_cell_length_c 5.312
_cell_angle_alpha 90.00
_cell_angle_beta 90.00
_cell_angle_gamma 90.00
loop_
_atom_site_label
_atom_site_type_symbol
_atom_site_fract_x
_atom_site_fract_y
_atom_site_fract_z
Al1 Al 0.000 0.000 0.000
Bi1 Bi 0.500 0.500 0.500
Au1 Au 0.000 0.500 0.500
# **Electronic total energy**: -3.215 eV per atom

(12)
# Li4Nb2Cr3Co3O16 | the Alexandria database | PBEsol | relaxed
data_Li4Nb2Cr3Co3O16
_symmetry_space_group_name_H-M 'C 1 m 1'
_symmetry_Int_Tables_number 8
_cell_length_a 9.911
_cell_length_b 5.782
_cell_length_c 9.407
_cell_angle_alpha 90.00
_cell_angle_beta 90.61
_cell_angle_gamma 90.00
loop_
_symmetry_equiv_pos_as_xyz
'x,y,z'
'x,-y,z'
'x+1/2,y+1/2,z'
'x+1/2,-y+1/2,z'
loop_
_atom_site_label
_atom_site_type_symbol
_atom_site_fract_x
_atom_site_fract_y
_atom_site_fract_z
Li1 Li 0.000 0.000 0.000
Li2 Li 0.001 0.000 0.497
Li3 Li 0.160 0.500 0.904
Li4 Li 0.326 0.000 0.399
Nb1 Nb 0.158 0.500 0.495
Nb2 Nb 0.327 0.000 0.999
Cr1 Cr 0.325 0.500 0.220
Cr2 Cr 0.409 0.246 0.720
Co1 Co 0.080 0.253 0.217
Co2 Co 0.165 0.000 0.717
O1 O 0.000 0.000 0.310
O2 O 0.014 0.500 0.332
O3 O 0.079 0.246 0.602
O4 O 0.159 0.500 0.114
O5 O 0.161 0.000 0.108
O6 O 0.235 0.276 0.339
O7 O 0.252 0.222 0.840
O8 O 0.328 0.000 0.610
O9 O 0.332 0.500 0.596
O10 O 0.415 0.253 0.100
O11 O 0.477 0.000 0.841
O12 O 0.498 0.500 0.813
# **Formation energy from raw total energies**: -1.909 eV/atom

(13)
# SrIn2As | the Alexandria database | PBEsol | relaxed
data_SrIn2As
_symmetry_space_group_name_H-M 'C m m m'
_symmetry_Int_Tables_number 65
_symmetry_space_group_name_Hall '-C 2 2'
_cell_length_a 6.077
_cell_length_b 7.651
_cell_length_c 4.854
_cell_angle_alpha 90.00
_cell_angle_beta 90.00
_cell_angle_gamma 90.00
loop_
_atom_site_label
_atom_site_type_symbol
_atom_site_fract_x
_atom_site_fract_y
_atom_site_fract_z
Sr1 Sr 0.000 0.000 0.000
In1 In 0.000 0.301 0.500
As1 As 0.000 0.500 0.000
# **Electronic total energy**: -3.645 eV per atom

(14)
# KBI2O | the Alexandria database | PBEsol | relaxed
data_KBI2O
_symmetry_space_group_name_H-M 'P 4/m m m'
_symmetry_Int_Tables_number 123
_symmetry_space_group_name_Hall '-P 4 2'
_cell_length_a 6.145
_cell_length_b 6.145
_cell_length_c 3.080
_cell_angle_alpha 90.00
_cell_angle_beta 90.00
_cell_angle_gamma 90.00
loop_
_atom_site_label
_atom_site_type_symbol
_atom_site_fract_x
_atom_site_fract_y
_atom_site_fract_z
K1 K 0.000 0.000 0.000
B1 B 0.500 0.500 0.500
I1 I 0.000 0.500 0.500
O1 O 0.500 0.500 0.000
# **Formation energy from raw total energies**: -0.402 eV/atom

(15)
# GdZn2Ga2 | the Alexandria database | PBEsol | relaxed
data_GdZn2Ga2
_symmetry_space_group_name_H-M 'I 4/m m m'
_symmetry_Int_Tables_number 139
_symmetry_space_group_name_Hall '-I 4 2'
_cell_length_a 4.091
_cell_length_b 4.091
_cell_length_c 10.598
_cell_angle_alpha 90.00
_cell_angle_beta 90.00
_cell_angle_gamma 90.00
loop_
_atom_site_label
_atom_site_type_symbol
_atom_site_fract_x
_atom_site_fract_y
_atom_site_fract_z
Gd1 Gd 0.000 0.000 0.000
Zn1 Zn 0.000 0.000 0.389
Ga1 Ga 0.000 0.500 0.250
# **Electronic total energy**: -5.324 eV per atom

(16)
# YCoW2 | the Alexandria database | PBEsol | relaxed
data_YCoW2
_symmetry_space_group_name_H-M 'C 1 m 1'
_symmetry_Int_Tables_number 8
_cell_length_a 8.944
_cell_length_b 3.136
_cell_length_c 5.321
_cell_angle_alpha 90.00
_cell_angle_beta 108.86
_cell_angle_gamma 90.00
loop_
_symmetry_equiv_pos_as_xyz
'x,y,z'
'x,-y,z'
'x+1/2,y+1/2,z'
'x+1/2,-y+1/2,z'
loop_
_atom_site_label
_atom_site_type_symbol
_atom_site_fract_x
_atom_site_fract_y
_atom_site_fract_z
Y1 Y 0.000 0.000 0.000
Co1 Co 0.244 0.000 0.696
W1 W 0.025 0.500 0.526
W2 W 0.289 0.500 0.345
# **Electronic total energy**: -10.049 eV per atom

(17)
# ZrOs2Se | the Alexandria database | PBEsol | relaxed
data_ZrOs2Se
_symmetry_space_group_name_H-M 'P m m 2'
_symmetry_Int_Tables_number 25
_cell_length_a 2.970
_cell_length_b 3.870
_cell_length_c 5.715
_cell_angle_alpha 90.00
_cell_angle_beta 90.00
_cell_angle_gamma 90.00
loop_
_symmetry_equiv_pos_as_xyz
'x,y,z'
'-x,-y,z'
'-x,y,z'
'x,-y,z'
loop_
_atom_site_label
_atom_site_type_symbol
_atom_site_fract_x
_atom_site_fract_y
_atom_site_fract_z
Zr1 Zr 0.000 0.000 0.000
Os1 Os 0.000 0.000 0.475
Os2 Os 0.500 0.500 0.315
Se1 Se 0.500 0.500 0.767
# **Formation energy from raw total energies**: 0.024 eV/atom

(18)
# AlTcSeBr2 | the Alexandria database | PBEsol | relaxed
data_AlTcSeBr2
_symmetry_space_group_name_H-M 'P 4/m m m'
_symmetry_Int_Tables_number 123
_symmetry_space_group_name_Hall '-P 4 2'
_cell_length_a 4.912
_cell_length_b 4.912
_cell_length_c 4.996
_cell_angle_alpha 90.00
_cell_angle_beta 90.00
_cell_angle_gamma 90.00
loop_
_atom_site_label
_atom_site_type_symbol
_atom_site_fract_x
_atom_site_fract_y
_atom_site_fract_z
Al1 Al 0.000 0.000 0.000
Tc1 Tc 0.500 0.500 0.500
Se1 Se 0.000 0.000 0.500
Br1 Br 0.000 0.500 0.000
# **Formation energy from raw total energies**: 0.551 eV/atom

(19)
# GaSi2AsH24C8 | the Alexandria database | PBEsol | relaxed
data_GaSi2AsH24C8
_symmetry_space_group_name_H-M 'P -1'
_symmetry_Int_Tables_number 2
_cell_length_a 9.225
_cell_length_b 9.664
_cell_length_c 9.863
_cell_angle_alpha 77.38
_cell_angle_beta 80.84
_cell_angle_gamma 64.08
loop_
_symmetry_equiv_pos_as_xyz
'x,y,z'
'-x,-y,-z'
loop_
_atom_site_label
_atom_site_type_symbol
_atom_site_fract_x
_atom_site_fract_y
_atom_site_fract_z
Ga1 Ga 0.031 0.144 0.074
Si1 Si 0.172 0.145 0.668
Si2 Si 0.277 0.684 0.238
As1 As 0.028 0.878 0.160
H1 H 0.001 0.293 0.467
H2 H 0.076 0.088 0.472
H3 H 0.102 0.423 0.682
H4 H 0.123 0.694 0.734
H5 H 0.160 0.574 0.901
H6 H 0.177 0.485 0.368
H7 H 0.206 0.185 0.410
H8 H 0.235 0.461 0.190
H9 H 0.236 0.731 0.485
H10 H 0.250 0.247 0.041
H11 H 0.259 0.292 0.792
H12 H 0.265 0.696 0.837
H13 H 0.297 0.081 0.176
H14 H 0.303 0.329 0.608
H15 H 0.330 0.845 0.372
H16 H 0.339 0.055 0.998
H17 H 0.342 0.862 0.668
H18 H 0.386 0.396 0.311
H19 H 0.398 0.926 0.800
H20 H 0.413 0.655 0.000
H21 H 0.445 0.409 0.871
H22 H 0.445 0.641 0.428
H23 H 0.445 0.795 0.069
H24 H 0.461 0.973 0.622
C1 C 0.107 0.181 0.488
C2 C 0.149 0.689 0.841
C3 C 0.213 0.313 0.689
C4 C 0.252 0.129 0.071
C5 C 0.267 0.489 0.281
C6 C 0.325 0.730 0.396
C7 C 0.360 0.959 0.692
C8 C 0.437 0.682 0.095
# **Electronic total energy**: -5.069 eV per atom

(20)
# LiMnSb2H | the Alexandria database | PBEsol | relaxed
data_LiMnSb2H
_symmetry_space_group_name_H-M 'P 4/m m m'
_symmetry_Int_Tables_number 123
_symmetry_space_group_name_Hall '-P 4 2'
_cell_length_a 4.720
_cell_length_b 4.720
_cell_length_c 4.467
_cell_angle_alpha 90.00
_cell_angle_beta 90.00
_cell_angle_gamma 90.00
loop_
_atom_site_label
_atom_site_type_symbol
_atom_site_fract_x
_atom_site_fract_y
_atom_site_fract_z
Li1 Li 0.000 0.000 0.000
Mn1 Mn 0.000 0.000 0.500
Sb1 Sb 0.000 0.500 0.000
H1 H 0.500 0.500 0.500
# **Electronic total energy**: -3.842 eV per atom

(21)
# Ti2Be2Pt | the Alexandria database | PBEsol | relaxed
data_Ti2Be2Pt
_symmetry_space_group_name_H-M 'P 4/m b m'
_symmetry_Int_Tables_number 127
_symmetry_space_group_name_Hall '-P 4 2ab'
_cell_length_a 6.106
_cell_length_b 6.106
_cell_length_c 3.322
_cell_angle_alpha 90.00
_cell_angle_beta 90.00
_cell_angle_gamma 90.00
loop_
_atom_site_label
_atom_site_type_symbol
_atom_site_fract_x
_atom_site_fract_y
_atom_site_fract_z
Ti1 Ti 0.170 0.330 0.000
Be1 Be 0.126 0.626 0.500
Pt1 Pt 0.000 0.000 0.500
# **Electronic total energy**: -6.916 eV per atom

Number 1: total magnetization 0.00 μB/atom. Number 2: total magnetization 0.00 μB/atom. Number 3: total magnetization 0.37 μB/atom. Number 4: total magnetization 0.00 μB/atom. Number 5: total magnetization 0.49 μB/atom. Number 6: total magnetization 0.00 μB/atom. Number 7: total magnetization 0.00 μB/atom. Number 8: total magnetization 0.58 μB/atom. Number 9: total magnetization 0.14 μB/atom. Number 10: total magnetization 0.00 μB/atom. Number 11: total magnetization 0.00 μB/atom. Number 12: total magnetization 0.32 μB/atom. Number 13: total magnetization 0.00 μB/atom. Number 14: total magnetization 0.00 μB/atom. Number 15: total magnetization 1.41 μB/atom. Number 16: total magnetization 0.00 μB/atom. Number 17: total magnetization 0.00 μB/atom. Number 18: total magnetization 0.96 μB/atom. Number 19: total magnetization 0.00 μB/atom. Number 20: total magnetization 0.86 μB/atom. Number 21: total magnetization 0.00 μB/atom.